No. 1
AcIn2SbRh4 | PBE | optimized geometry

Cell: 9.535 9.535 9.535 Å, 27.44 27.44 27.44°
Sites, in units of the cell vectors:
Ac1 0.000 0.000 0.000
In1 0.244 0.244 0.244
In2 0.756 0.756 0.756
Sb1 0.500 0.500 0.500
Rh1 0.136 0.136 0.136
Rh2 0.405 0.405 0.405
Rh3 0.595 0.595 0.595
Rh4 0.864 0.864 0.864

- E_form (uncorrected) (eV/atom) = -0.4727
- Fermi-level density of states (states/eV/f.u.) = 4.1

***

No. 2
AgSb2Au5 | PBE | optimized geometry

Cell: 5.002 12.351 5.364 Å, 90.00 94.36 90.00°
Sites, in units of the cell vectors:
Ag1 0.103 0.250 0.226
Ag2 0.897 0.750 0.774
Sb1 0.363 0.109 0.820
Sb2 0.363 0.391 0.820
Sb3 0.637 0.609 0.180
Sb4 0.637 0.891 0.180
Au1 0.099 0.750 0.288
Au2 0.120 0.010 0.262
Au3 0.120 0.490 0.262
Au4 0.384 0.632 0.683
Au5 0.384 0.868 0.683
Au6 0.616 0.132 0.317
Au7 0.616 0.368 0.317
Au8 0.880 0.510 0.738
Au9 0.880 0.990 0.738
Au10 0.901 0.250 0.712

- E_form (uncorrected) (eV/atom) = 0.0298
- Fermi-level density of states (states/eV/f.u.) = 2.5

***

No. 3
Li3CeEr2Se6 | PBE | optimized geometry

Cell: 7.102 7.102 6.910 Å, 99.84 99.84 120.02°
Sites, in units of the cell vectors:
Li1 0.000 0.000 0.000
Li2 0.331 0.669 0.000
Li3 0.669 0.331 0.000
Ce1 0.500 0.500 0.500
Er1 0.166 0.834 0.500
Er2 0.834 0.166 0.500
Se1 0.072 0.416 0.247
Se2 0.241 0.241 0.755
Se3 0.416 0.072 0.247
Se4 0.584 0.928 0.753
Se5 0.759 0.759 0.245
Se6 0.928 0.584 0.753

- E_form (uncorrected) (eV/atom) = -1.6581
- Fermi-level density of states (states/eV/f.u.) = 4.8